Computed, not measured: a relaxed LiTl2CrO4 crystal at the GGA+U level of DFT. Values from VASP.

## Properties
E: -5.43 eV per atom
volume: 285.90 Å³/cell

Quantum ESPRESSO input file:
```
&SYSTEM
  ibrav = 0, nat = 16, ntyp = 4
/
ATOMIC_SPECIES
O 16.00 O.upf
Tl 204.38 Tl.upf
Li 6.94 Li.upf
Cr 52.00 Cr.upf
CELL_PARAMETERS angstrom
4.973 0.000 0.000
2.487 5.776 0.000
2.487 0.000 9.953
ATOMIC_POSITIONS crystal
O 0.424 0.678 0.412
Tl 0.824 0.000 0.352
O 0.237 0.178 0.912
Li 0.000 0.000 0.000
O 0.326 0.822 0.088
O 0.164 0.322 0.412
Tl 0.574 0.500 0.852
O 0.851 0.822 0.912
O 0.899 0.678 0.588
Cr 0.500 0.000 0.000
O 0.586 0.178 0.088
O 0.513 0.322 0.588
Cr 0.250 0.500 0.500
Tl 0.926 0.500 0.148
Li 0.750 0.500 0.500
Tl 0.176 0.000 0.648
```